Entry 1:
Th6GeAs2Se3: optimized geometry, GGA-PBE.

Calculated values
- total magnetization (μB/cell) = 0.00
- V (Å³/cell) = 324.0
- symmetry = C2/m (12)

```
Th6GeAs2Se3
1.0
9.2222 -2.1393 0.0000
9.2222 2.1393 0.0000
-1.8465 0.0000 8.2123
Th Ge As Se
6 1 2 3
direct
0.0016 0.0016 0.2459
0.3322 0.3322 0.4201
0.3349 0.3349 0.9135
0.6651 0.6651 0.0865
0.6678 0.6678 0.5799
0.9984 0.9984 0.7541
0.5000 0.5000 0.0000
0.1671 0.1671 0.3338
0.8329 0.8329 0.6662
0.1663 0.1663 0.8331
0.5000 0.5000 0.5000
0.8337 0.8337 0.1669
```



Entry 2:
Th8Ge4AsSe3: optimized geometry, GGA-PBE.

Calculated values
- total magnetization (μB/cell) = 0.00
- V (Å³/cell) = 440.8
- symmetry = R-3m (166)

```
Th8Ge4AsSe3
1.0
4.2897 2.4767 6.9153
-4.2897 2.4767 6.9153
0.0000 -4.9533 6.9153
Th Ge As Se
8 4 1 3
direct
0.2445 0.7493 0.7493
0.2468 0.2468 0.2468
0.2507 0.2507 0.7555
0.2507 0.7555 0.2507
0.7493 0.2445 0.7493
0.7493 0.7493 0.2445
0.7532 0.7532 0.7532
0.7555 0.2507 0.2507
0.0000 0.0000 0.5000
0.0000 0.5000 0.0000
0.5000 0.0000 0.0000
0.5000 0.5000 0.5000
0.0000 0.0000 0.0000
0.0000 0.5000 0.5000
0.5000 0.0000 0.5000
0.5000 0.5000 0.0000
```



Number 1: formation energy (no corrections) -16.82 eV per formula unit. Number 2: formation energy (no corrections) -19.07 eV per formula unit.